[1]
Entry from the Alexandria database: a relaxed Re2Hg3 crystal (GGA-PBE).

**Volume**: 22.055 Å³ per atom
**Relative energy among the computed polymorphs**: 0 meV/atom
**ΔE_f**: 0.67 eV/atom

Cell and atoms, written as CIF:
```
data_Re2Hg3
_chemical_formula_sum 'Re16 Hg24'
_cell_length_a 12.7913
_cell_length_b 22.5754
_cell_length_c 3.0550
_cell_angle_alpha 90.00
_cell_angle_beta 90.00
_cell_angle_gamma 90.00
_symmetry_space_group_name_H-M 'F d d 2'
_symmetry_Int_Tables_number 43
_symmetry_space_group_name_Hall 'F 2 -2d'
loop_
_atom_site_label
_atom_site_fract_x
_atom_site_fract_y
_atom_site_fract_z
_atom_site_occupancy
Re1 0.0401 0.2171 0.0000 1
Hg1 0.0000 0.0000 0.7457 1
Hg2 0.0899 0.3718 0.8393 1
```


[2]
Entry from the Alexandria database: a relaxed ScPdPb2 crystal (GGA-PBE).

**Volume**: 22.625 Å³ per atom
**Relative energy among the computed polymorphs**: 95 meV/atom
**ΔE_f**: -0.22 eV/atom

Cell and atoms, written as CIF:
```
data_ScPdPb2
_chemical_formula_sum 'Sc4 Pd4 Pb8'
_cell_length_a 7.1269
_cell_length_b 7.1269
_cell_length_c 7.1269
_cell_angle_alpha 90.00
_cell_angle_beta 90.00
_cell_angle_gamma 90.00
_symmetry_space_group_name_H-M 'F m -3 m'
_symmetry_Int_Tables_number 225
_symmetry_space_group_name_Hall '-F 4 2 3'
loop_
_atom_site_label
_atom_site_fract_x
_atom_site_fract_y
_atom_site_fract_z
_atom_site_occupancy
Sc1 0.0000 0.0000 0.0000 1
Pd1 0.0000 0.0000 0.5000 1
Pb1 0.2500 0.2500 0.2500 1
```


[3]
Entry from the Alexandria database: a relaxed Pm8IrPd5 crystal (GGA-PBE).

**Volume**: 25.841 Å³ per atom
**ΔE_f**: -0.67 eV/atom

Cell and atoms, written as CIF:
```
data_Pm8IrPd5
_chemical_formula_sum 'Pm16 Ir2 Pd10'
_cell_length_a 8.9630
_cell_length_b 8.9630
_cell_length_c 9.0068
_cell_angle_alpha 90.00
_cell_angle_beta 90.00
_cell_angle_gamma 90.00
_symmetry_space_group_name_H-M 'I -4'
_symmetry_Int_Tables_number 82
_symmetry_space_group_name_Hall 'I -4'
loop_
_atom_site_label
_atom_site_fract_x
_atom_site_fract_y
_atom_site_fract_z
_atom_site_occupancy
Pm1 0.0568 0.1873 0.3082 1
Pm2 0.0601 0.3029 0.9343 1
Ir1 0.0000 0.0000 0.0000 1
Pd1 0.0000 0.5000 0.2500 1
Pd2 0.1228 0.2496 0.6200 1
```


- ΔE_f of number 1 (Re2Hg3)?
  0.67 eV/atom